(1)
The following is a PBE calculation of a relaxed structure of LuCuBPd, from the Open Quantum Materials Database.

Structure (POSCAR):
```
LuCuBPd
1.0
6.160 0.000 0.000
0.000 6.160 0.000
0.000 0.000 6.160
Lu Cu B Pd
4 4 4 4
direct
0.000 0.000 0.000
0.000 0.500 0.500
0.500 0.000 0.500
0.500 0.500 0.000
0.250 0.250 0.750
0.250 0.750 0.250
0.750 0.250 0.250
0.750 0.750 0.750
0.000 0.000 0.500
0.000 0.500 0.000
0.500 0.000 0.000
0.500 0.500 0.500
0.250 0.250 0.250
0.250 0.750 0.750
0.750 0.250 0.750
0.750 0.750 0.250
```

Properties
**Energy**: -19.55 eV per formula unit
**Offset from the most stable computed form**: 56 meV/atom
**Crystal system**: cubic
**Space-group type**: No. 216
**Calculated volume**: 233.7 Å³/cell



(2)
The following is a PBE calculation of a relaxed structure of LuCuBPt, from the Open Quantum Materials Database.

Structure (POSCAR):
```
LuCuBPt
1.0
6.248 0.000 0.000
0.000 6.248 0.000
0.000 0.000 6.248
Lu Cu B Pt
4 4 4 4
direct
0.000 0.000 0.000
0.000 0.500 0.500
0.500 0.000 0.500
0.500 0.500 0.000
0.000 0.000 0.500
0.000 0.500 0.000
0.500 0.000 0.000
0.500 0.500 0.500
0.250 0.250 0.250
0.250 0.750 0.750
0.750 0.250 0.750
0.750 0.750 0.250
0.250 0.250 0.750
0.250 0.750 0.250
0.750 0.250 0.250
0.750 0.750 0.750
```

Properties
**Energy**: -20.79 eV per formula unit
**Offset from the most stable computed form**: 0 meV/atom
**Crystal system**: cubic
**Space-group type**: No. 216
**Calculated volume**: 243.9 Å³/cell



(3)
The following is a PBE calculation of a relaxed structure of LuCuBPt, from the Open Quantum Materials Database.

Structure (POSCAR):
```
LuCuBPt
1.0
6.197 0.000 0.000
0.000 6.197 0.000
0.000 0.000 6.197
Lu Cu B Pt
4 4 4 4
direct
0.000 0.000 0.000
0.000 0.500 0.500
0.500 0.000 0.500
0.500 0.500 0.000
0.250 0.250 0.750
0.250 0.750 0.250
0.750 0.250 0.250
0.750 0.750 0.750
0.000 0.000 0.500
0.000 0.500 0.000
0.500 0.000 0.000
0.500 0.500 0.500
0.250 0.250 0.250
0.250 0.750 0.750
0.750 0.250 0.750
0.750 0.750 0.250
```

Properties
**Energy**: -20.64 eV per formula unit
**Offset from the most stable computed form**: 36 meV/atom
**Crystal system**: cubic
**Space-group type**: No. 216
**Calculated volume**: 237.9 Å³/cell



(4)
The following is a PBE calculation of a relaxed structure of LuCuReB, from the Open Quantum Materials Database.

Structure (POSCAR):
```
LuCuReB
1.0
6.220 0.000 0.000
0.000 6.220 0.000
0.000 0.000 6.220
Lu Cu Re B
4 4 4 4
direct
0.000 0.000 0.000
0.000 0.500 0.500
0.500 0.000 0.500
0.500 0.500 0.000
0.000 0.000 0.500
0.000 0.500 0.000
0.500 0.000 0.000
0.500 0.500 0.500
0.250 0.250 0.750
0.250 0.750 0.250
0.750 0.250 0.250
0.750 0.750 0.750
0.250 0.250 0.250
0.250 0.750 0.750
0.750 0.250 0.750
0.750 0.750 0.250
```

Properties
**Energy**: -23.07 eV per formula unit
**Offset from the most stable computed form**: 224 meV/atom
**Crystal system**: cubic
**Space-group type**: No. 216
**Calculated volume**: 240.6 Å³/cell